Cu2HgPt2, relaxed, DFT PBE; energy of formation = 0.46 kcal/mol of atoms; crystal system = tetragonal; SG = P4/mbm; final energy = -4.095 eV/atom; energy relative to the lowest polymorph listed for this composition = 0.031 eV per atom
1.0
-1.008 5.385 -4.859
-7.193 -0.116 1.364
0.368 1.974 2.111
Hg Cu Pt
2 4 4
direct
0.500 0.500 0.000 Hg
0.000 0.000 0.000 Hg
0.626 0.126 0.000 Cu
0.374 0.874 0.000 Cu
0.126 0.374 0.000 Cu
0.874 0.626 0.000 Cu
0.332 0.168 0.500 Pt
0.668 0.832 0.500 Pt
0.168 0.668 0.500 Pt
0.832 0.332 0.500 Pt



Y8Er2Zn, relaxed, DFT PBE; energy of formation = -0.57 kcal/mol of atoms; crystal system = monoclinic; SG = C2/m; final energy = -5.671 eV/atom
1.0
5.297 0.000 -1.521
-0.117 6.368 -0.407
-0.004 -0.118 9.974
Y Er Zn
8 2 1
direct
0.656 0.127 0.312 Y
0.423 0.389 0.846 Y
0.957 0.745 0.914 Y
0.157 0.805 0.314 Y
0.577 0.611 0.154 Y
0.043 0.255 0.086 Y
0.344 0.873 0.688 Y
0.843 0.195 0.686 Y
0.758 0.667 0.516 Er
0.242 0.333 0.484 Er
0.500 0.000 0.000 Zn



Fe2NiRh2, relaxed, DFT PBE; energy of formation = 6.11 kcal/mol of atoms; crystal system = tetragonal; SG = P4/mbm; final energy = -7.217 eV/atom; energy relative to the lowest polymorph listed for this composition = 0.199 eV per atom
1.0
3.639 0.000 0.000
0.000 6.099 0.000
0.000 0.000 6.099
Ni Rh Fe
2 4 4
direct
0.000 0.000 0.000 Ni
0.000 0.500 0.500 Ni
0.500 0.168 0.668 Rh
0.500 0.668 0.832 Rh
0.500 0.832 0.332 Rh
0.500 0.332 0.168 Rh
0.000 0.363 0.863 Fe
0.000 0.863 0.637 Fe
0.000 0.637 0.137 Fe
0.000 0.137 0.363 Fe



Ce2CdN, relaxed, DFT PBE; crystal system = hexagonal; SG = P-6m2; final energy = -5.794 eV/atom; energy relative to the lowest polymorph listed for this composition = 0.312 eV per atom; uncorrected formation energy = -0.517 eV/atom
1.0
-1.853 1.157 2.547
-1.315 -2.199 -2.166
2.840 -6.756 5.136
Ce N Cd
2 1 1
direct
0.466 0.534 0.325 Ce
0.466 0.534 0.675 Ce
0.133 0.867 0.500 N
0.800 0.200 0.000 Cd



BeAg2Te, relaxed, DFT PBE; crystal system = cubic; SG = Fm-3m; final energy = -2.641 eV/atom; energy relative to the lowest polymorph listed for this composition = 0.364 eV per atom; uncorrected formation energy = 0.502 eV/atom
1.0
-2.063 2.980 3.147
-3.766 2.662 -1.330
-4.367 -0.986 1.731
Ag Te Be
2 1 1
direct
0.250 0.250 0.250 Ag
0.750 0.750 0.750 Ag
0.500 0.500 0.500 Te
0.000 0.000 0.000 Be



NaIn9Au2, relaxed, DFT PBE; energy of formation = -1.67 kcal/mol of atoms; crystal system = orthorhombic; SG = Fddd; final energy = -2.782 eV/atom
1.0
-1.517 7.028 1.978
1.519 1.575 9.626
7.953 5.891 -0.774
In Au Na
18 4 2
direct
0.338 0.697 0.056 In
0.143 0.197 0.444 In
0.785 0.803 0.556 In
0.000 0.000 0.000 In
0.607 0.303 0.056 In
0.965 0.697 0.944 In
0.412 0.803 0.444 In
0.965 0.941 0.702 In
0.750 0.500 0.500 In
0.091 0.303 0.944 In
0.608 0.059 0.298 In
0.094 0.941 0.298 In
0.417 0.441 0.798 In
0.785 0.559 0.798 In
0.659 0.197 0.556 In
0.656 0.559 0.202 In
0.142 0.441 0.202 In
0.333 0.059 0.702 In
0.875 0.750 0.250 Au
0.875 0.250 0.250 Au
0.875 0.250 0.750 Au
0.375 0.750 0.750 Au
0.250 0.500 0.500 Na
0.500 0.000 0.000 Na



Er2Co3NiP4, relaxed, DFT PBE; energy of formation = -23.11 kcal/mol of atoms; crystal system = tetragonal; SG = P-4m2; final energy = -6.789 eV/atom
1.0
-2.704 1.728 2.229
-2.661 -2.585 -1.225
2.165 -5.488 6.879
Er P Co Ni
2 4 3 1
direct
0.000 0.500 0.756 Er
0.500 0.000 0.244 Er
0.500 0.500 0.000 P
0.000 0.500 0.361 P
0.000 0.000 0.000 P
0.500 0.000 0.639 P
0.000 0.000 0.500 Co
0.000 0.500 0.114 Co
0.500 0.000 0.886 Co
0.500 0.500 0.500 Ni



NdTiCo2, relaxed, DFT PBE; energy of formation = -2.48 kcal/mol of atoms; crystal system = tetragonal; SG = P4/mmm; final energy = -6.826 eV/atom
1.0
3.105 0.000 0.000
0.000 3.105 0.000
0.000 0.000 6.835
Nd Co Ti
1 2 1
direct
0.500 0.500 0.500 Nd
0.000 0.000 0.194 Co
0.000 0.000 0.806 Co
0.500 0.500 0.000 Ti



Number 1: calculated volume 156.2 Å³ per cell. Number 2: calculated volume 336.2 Å³ per cell. Number 3: calculated volume 135.4 Å³ per cell. Number 4: calculated volume 87.3 Å³ per cell. Number 5: calculated volume 78.2 Å³ per cell. Number 6: calculated volume 627.1 Å³ per cell. Number 7: calculated volume 138.3 Å³ per cell. Number 8: calculated volume 65.9 Å³ per cell.